Entry 1:
# LiTbTmAl

A relaxed LiTbTmAl crystal (PBE, the Alexandria database).

abc: 7.2520 7.2520 7.2520
angles: 90.00 90.00 90.00
Space group F-43m (No. 216)
Inequivalent atoms, fractional coordinates:
Li 0.0000 0.0000 0.0000
Tb 0.2500 0.2500 0.7500
Tm 0.2500 0.2500 0.2500
Al 0.0000 0.0000 0.5000


Entry 2:
# In3Ni

A relaxed In3Ni crystal (PBE, the Alexandria database).

abc: 4.3965 4.2580 5.2836
angles: 90.00 108.38 90.00
Space group P2/m (No. 10)
Inequivalent atoms, fractional coordinates:
In 0.0000 0.0000 0.0000
In 0.3419 0.5000 0.7094
Ni 0.0000 0.0000 0.5000


| no. | DOS(E_F) (states/eV per cell) | formation energy from the elements (kcal/mol of atoms) | uncorrected energy (eV/atom) |
| --- | --- | --- | --- |
| 1 | 14.51 | -4.8 | -3.898 |
| 2 | 1.95 | 2.2 | -3.402 |